Compound: CaScTe2
Source: Alexandria
Functional: GGA-PBE
Structure: relaxed

Properties
Volume (Å³/cell): 123
E above lowest polymorph (meV/atom): 183.3
Mass density (Mg/m³): 4.61
Formation energy (no corrections) (eV/atom): -1.167
Space group: Amm2

Unit cell a=7.1037 b=7.1037 c=4.3014 alpha=90.01 beta=90.01 gamma=34.39
Closest atoms and distances in Å follow each position.
Positions (direct):
Ca 0.4800 0.4800 0.3751  5 Te 3.01-3.16
Te 0.2473 0.2473 0.3749  4 Sc 3.04, 1 Ca 3.16
Te 0.9929 0.9929 0.8751  1 Sc 2.89, 4 Ca 3.01
Sc 0.7798 0.7798 0.8749  5 Te 2.89-3.04

---

Compound: Mg2MnCl
Source: Alexandria
Functional: GGA-PBE
Structure: relaxed

Properties
Volume (Å³/cell): 86
E above lowest polymorph (meV/atom): 380.8
Mass density (Mg/m³): 2.67
Formation energy (no corrections) (eV/atom): 0.075
Space group: Pmmm

Unit cell a=3.2088 b=5.7127 c=4.7139 alpha=90.00 beta=90.00 gamma=90.00
Closest atoms and distances in Å follow each position.
Positions (direct):
Mg 0.0000 0.0000 0.0000  4 Mn 2.85
Mg 0.5000 0.5000 0.0000  4 Cl 2.85
Cl 0.0000 0.5000 0.5000  4 Mg 2.85
Mn 0.5000 0.0000 0.5000  4 Mg 2.85

---

Compound: Ti2TlWN
Source: Alexandria
Functional: GGA-PBE
Structure: relaxed

Properties
Volume (Å³/cell): 76
Mass density (Mg/m³): 10.90
Formation energy (no corrections) (eV/atom): -0.344
Space group: P4/mmm

Unit cell a=4.3410 b=4.0268 c=4.3410 alpha=90.00 beta=90.00 gamma=90.00
Closest atoms and distances in Å follow each position.
Positions (direct):
N 0.0000 0.0000 0.0000  2 W 2.01, 4 Ti 2.17
Ti 0.0000 0.0000 0.5000  2 N 2.17
Ti 0.5000 0.0000 0.0000  2 N 2.17
W 0.0000 0.5000 0.0000  2 N 2.01
Tl 0.5000 0.5000 0.5000  8 Ti 2.96, 4 W 3.07

---

Compound: AlPtO2
Source: Alexandria
Functional: GGA-PBE
Structure: relaxed

Properties
Volume (Å³/cell): 125
Mass density (Mg/m³): 6.75
Formation energy (no corrections) (eV/atom): -1.061
Space group: Cmcm

Unit cell a=12.1696 b=12.1696 c=2.9010 alpha=90.00 beta=90.00 gamma=163.08
Closest atoms and distances in Å follow each position.
Positions (direct):
O 0.1764 0.8236 0.2500  1 Al 1.83
O 0.8236 0.1764 0.7500  1 Al 1.83
O 0.0647 0.9353 0.7500  2 Al 1.69
O 0.9353 0.0647 0.2500  2 Al 1.69
Al 0.8995 0.1005 0.7500  3 O 1.69-1.83
Al 0.1005 0.8995 0.2500  3 O 1.69-1.83
Pt 0.6803 0.3197 0.7500  4 O 2.31
Pt 0.3197 0.6803 0.2500  4 O 2.31

---

Compound: Ce5P2N2
Source: Alexandria
Functional: GGA-PBE
Structure: relaxed

Properties
Volume (Å³/cell): 197
Mass density (Mg/m³): 6.66
Formation energy (no corrections) (eV/atom): -1.122
Space group: C2/m

Unit cell a=4.5213 b=7.1255 c=7.9397 alpha=123.52 beta=90.00 gamma=108.50
Closest atoms and distances in Å follow each position.
Positions (direct):
P 0.6197 0.2394 0.2749  7 Ce 2.81-3.11
P 0.3803 0.7606 0.7251  7 Ce 2.81-3.11
Ce 0.3640 0.7279 0.1003  2 N 2.38
Ce 0.0000 0.0000 0.0000  2 N 2.78, 4 P 2.89
Ce 0.1262 0.2524 0.5082  2 N 2.38-2.59
Ce 0.6360 0.2721 0.8997  2 N 2.38
Ce 0.8738 0.7476 0.4918  2 N 2.38-2.59
N 0.8953 0.7906 0.2144  4 Ce 2.38-2.59
N 0.1047 0.2094 0.7856  4 Ce 2.38-2.59

---

Compound: Cs3SrTl
Source: Alexandria
Functional: GGA-PBE
Structure: relaxed

Properties
Volume (Å³/cell): 423
E above lowest polymorph (meV/atom): 0.0
ΔH_f (0 K) (eV per atom): 0.19
Mass density (Mg/m³): 2.71
Space group: Pm-3m

Unit cell a=7.5063 b=7.5063 c=7.5063 alpha=90.00 beta=90.00 gamma=90.00
Closest atoms and distances in Å follow each position.
Positions (direct):
Tl 0.0000 0.0000 0.0000  6 Cs 3.75
Cs 0.0000 0.5000 0.0000  2 Tl 3.75
Cs 0.0000 0.0000 0.5000  2 Tl 3.75
Cs 0.5000 0.0000 0.0000  2 Tl 3.75
Sr 0.5000 0.5000 0.5000  12 Cs 5.31

---

> Among the records above, which one has the lowest mass density?

Mg2MnCl